Entry 1:
The following is a DFT calculation (PBE+U) of a geometry-optimized LiNpMoO6 structure.

a = 5.4691 Å, b = 5.4691 Å, c = 9.3767 Å
α = 90.00°, β = 90.00°, γ = 120.00°
With the nearest neighbours (Å) after each atom.
Atoms (fractional coordinates):
O: 0.9894 0.3563 0.6386  1 Mo 2.00, 1 Np 2.08
O: 0.0106 0.6437 0.3614  1 Mo 2.00, 1 Np 2.08
O: 0.3563 0.9894 0.1386  1 Mo 2.00, 1 Np 2.08
O: 0.6437 0.0106 0.8614  1 Mo 2.00, 1 Np 2.08
O: 0.3669 0.3563 0.8614  1 Mo 2.00, 1 Np 2.08
O: 0.6437 0.6331 0.6386  1 Mo 2.00, 1 Np 2.08
O: 0.3563 0.3669 0.3614  1 Mo 2.00, 1 Np 2.08
O: 0.9894 0.6331 0.8614  1 Mo 2.00, 1 Np 2.08
O: 0.0106 0.3669 0.1386  1 Mo 2.00, 1 Np 2.08
O: 0.3669 0.0106 0.6386  1 Mo 2.00, 1 Np 2.08
O: 0.6331 0.9894 0.3614  1 Mo 2.00, 1 Np 2.08
O: 0.6331 0.6437 0.1386  1 Mo 2.00, 1 Np 2.08
Li: 0.0000 0.0000 0.5000  6 O 2.37
Li: 0.0000 0.0000 0.0000  6 O 2.37
Mo: 0.6667 0.3333 0.7500  6 O 2.00
Mo: 0.3333 0.6667 0.2500  6 O 2.00
Np: 0.6667 0.3333 0.2500  6 O 2.08
Np: 0.3333 0.6667 0.7500  6 O 2.08

Total moment, μB/atom: 0.2222
Space-group type: P-31c (163)
Electronic total energy, eV per atom: -7.901


Entry 2:
The following is a DFT calculation (PBE+U) of a geometry-optimized Li4MoO4 structure.

a = 3.0893 Å, b = 5.2907 Å, c = 6.3539 Å
α = 77.22°, β = 75.93°, γ = 73.02°
With the nearest neighbours (Å) after each atom.
Atoms (fractional coordinates):
O: 0.9213 0.2757 0.8817  4 Li 2.00-2.22, 2 Mo 2.13
O: 0.0787 0.7243 0.1183  4 Li 2.00-2.22, 2 Mo 2.13
O: 0.7138 0.8662 0.7061  5 Li 1.93-2.10, 1 Mo 2.03
O: 0.2862 0.1338 0.2939  5 Li 1.93-2.10, 1 Mo 2.03
Li: 0.2948 0.5948 0.8156  5 O 2.08-2.22
Li: 0.8577 0.8953 0.3893  4 O 1.93-2.00
Li: 0.7052 0.4052 0.1844  5 O 2.08-2.22
Li: 0.1423 0.1047 0.6107  4 O 1.93-2.00
Mo: 0.5000 0.0000 0.0000  6 O 2.03-2.13

Total moment, μB/atom: 0.2222
Space-group type: C2/m (12)
Electronic total energy, eV per atom: -5.709


Entry 3:
The following is a DFT calculation (PBE+U) of a geometry-optimized Li5MoO5 structure.

a = 4.0869 Å, b = 5.3153 Å, c = 5.8584 Å
α = 109.05°, β = 90.00°, γ = 112.61°
With the nearest neighbours (Å) after each atom.
Atoms (fractional coordinates):
O: 0.8420 0.6839 0.6867  1 Mo 1.94, 4 Li 2.02-2.15
O: 0.8551 0.7102 0.1780  5 Li 1.92-2.08, 1 Mo 2.04
O: 0.1449 0.2898 0.8220  5 Li 1.92-2.08, 1 Mo 2.04
O: 0.1580 0.3161 0.3133  1 Mo 1.94, 4 Li 2.02-2.15
O: 0.5000 0.0000 0.0000  2 Mo 2.04, 4 Li 2.22-2.28
Li: 0.7097 0.4193 0.3334  4 O 1.95-2.10
Li: 0.0000 0.0000 0.5000  2 O 1.92
Li: 0.2903 0.5807 0.6666  4 O 1.95-2.10
Li: 0.3152 0.6304 0.1338  5 O 1.99-2.22
Li: 0.6848 0.3696 0.8662  5 O 1.99-2.22
Mo: 0.0000 0.0000 0.0000  6 O 1.94-2.04

Total moment, μB/atom: 0.0909
Space-group type: C2/m (12)
Electronic total energy, eV per atom: -5.691


Entry 4:
The following is a DFT calculation (PBE+U) of a geometry-optimized LiMoO structure.

a = 5.4099 Å, b = 5.9993 Å, c = 5.9984 Å
α = 59.16°, β = 76.11°, γ = 76.13°
With the nearest neighbours (Å) after each atom.
Atoms (fractional coordinates):
O: 0.9873 0.9948 0.7449  3 Li 2.03-2.19, 3 Mo 2.20-2.21
O: 0.0127 0.5052 0.7551  3 Li 2.03-2.19, 3 Mo 2.20-2.21
O: 0.0127 0.0052 0.2551  3 Li 2.03-2.19, 3 Mo 2.20-2.21
O: 0.9873 0.4948 0.2449  3 Li 2.03-2.19, 3 Mo 2.20-2.21
Mo: 0.7313 0.8628 0.6128  3 O 2.20-2.21
Mo: 0.2687 0.6372 0.8872  3 O 2.20-2.21
Mo: 0.7313 0.3628 0.1128  3 O 2.20-2.21
Mo: 0.2687 0.1372 0.3872  3 O 2.20-2.21
Li: 0.2135 0.6393 0.3889  3 O 2.03-2.19
Li: 0.7865 0.8607 0.1111  3 O 2.03-2.19
Li: 0.2135 0.1393 0.8889  3 O 2.03-2.19
Li: 0.7865 0.3607 0.6111  3 O 2.03-2.19

Total moment, μB/atom: 0.7634
Space-group type: P2_1/m (11)
Electronic total energy, eV per atom: -5.296


Entry 5:
The following is a DFT calculation (PBE+U) of a geometry-optimized LiMoO3 structure.

a = 5.2055 Å, b = 5.5774 Å, c = 5.5774 Å
α = 120.00°, β = 90.00°, γ = 90.00°
With the nearest neighbours (Å) after each atom.
Atoms (fractional coordinates):
O: 0.2500 0.3506 0.1754  2 Mo 2.01, 2 Li 2.14
O: 0.7500 0.3506 0.1751  2 Mo 2.01, 2 Li 2.14
O: 0.2500 0.8249 0.6494  2 Mo 2.01, 2 Li 2.14
O: 0.7500 0.8246 0.6494  2 Mo 2.01, 2 Li 2.14
O: 0.2500 0.8246 0.1751  2 Mo 2.01, 2 Li 2.14
O: 0.7500 0.8249 0.1754  2 Mo 2.01, 2 Li 2.14
Li: 0.5000 0.0000 0.0000  6 O 2.14
Li: 0.0000 0.0000 0.0000  6 O 2.14
Mo: 0.5000 0.6667 0.3333  6 O 2.01
Mo: 0.0000 0.6667 0.3333  6 O 2.01

Total moment, μB/atom: 0.0503
Space-group type: P-6m2 (187)
Electronic total energy, eV per atom: -6.401


Entry 6:
The following is a DFT calculation (PBE+U) of a geometry-optimized LiMo3O6 structure.

a = 7.7063 Å, b = 7.7063 Å, c = 7.8708 Å
α = 90.00°, β = 90.00°, γ = 125.29°
With the nearest neighbours (Å) after each atom.
Atoms (fractional coordinates):
O: 0.3317 0.0925 0.0000  1 Mo 1.80
O: 0.9075 0.6683 0.0000  1 Mo 1.80
O: 0.0000 0.0000 0.2718  1 Mo 1.80
O: 0.0000 0.0000 0.7282  1 Mo 1.80
O: 0.6683 0.9075 0.0000  1 Mo 1.80
O: 0.0925 0.3317 0.0000  1 Mo 1.80
Mo: 0.0000 0.5000 0.0000  2 O 1.80
Mo: 0.0000 0.0000 0.5000  2 O 1.80
Mo: 0.5000 0.0000 0.0000  2 O 1.80
Li: 0.0000 0.0000 0.0000  6 O 2.14-2.22

Total moment, μB/atom: 0.6986
Space-group type: Cmmm (65)
Electronic total energy, eV per atom: -5.638


Entry 7:
The following is a DFT calculation (PBE+U) of a geometry-optimized LiMoO3 structure.

a = 3.8854 Å, b = 3.8854 Å, c = 3.8854 Å
α = 90.00°, β = 90.00°, γ = 90.00°
With the nearest neighbours (Å) after each atom.
Atoms (fractional coordinates):
O: 0.5000 0.0000 0.0000  2 Mo 1.94
O: 0.0000 0.5000 0.0000  2 Mo 1.94
O: 0.0000 0.0000 0.5000  2 Mo 1.94
Li: 0.5000 0.5000 0.5000  12 O 2.75
Mo: 0.0000 0.0000 0.0000  6 O 1.94

Total moment, μB/atom: 0.1988
Space-group type: Pm-3m (221)
Electronic total energy, eV per atom: -6.408


Entry 8:
The following is a DFT calculation (PBE+U) of a geometry-optimized Li2MoO3 structure.

a = 6.1989 Å, b = 8.6318 Å, c = 10.4249 Å
α = 113.16°, β = 106.38°, γ = 89.67°
With the nearest neighbours (Å) after each atom.
Atoms (fractional coordinates):
O: 0.3408 0.0804 0.6770  2 Mo 2.08-2.09, 4 Li 2.19-2.27
O: 0.8572 0.0872 0.1823  2 Mo 2.07, 3 Li 2.16-2.22
O: 0.1428 0.9128 0.8177  2 Mo 2.07, 3 Li 2.16-2.22
O: 0.6796 0.4222 0.8447  3 Li 2.07-2.11, 2 Mo 2.09-2.12
O: 0.0013 0.2451 0.4952  3 Li 2.14-2.32, 3 Mo 2.16-2.18
O: 0.6592 0.9196 0.3230  2 Mo 2.08-2.09, 4 Li 2.19-2.27
O: 0.6797 0.3991 0.3312  2 Mo 2.02-2.15, 3 Li 2.10-2.23
O: 0.9987 0.7549 0.5048  3 Li 2.14-2.32, 3 Mo 2.16-2.18
O: 0.3203 0.6009 0.6688  2 Mo 2.02-2.15, 3 Li 2.10-2.23
O: 0.4998 0.7639 0.5192  2 Mo 2.05-2.08, 3 Li 2.12-2.24
O: 0.1744 0.4016 0.3377  2 Mo 2.02-2.16, 2 Li 2.15-2.26
O: 0.4960 0.7533 0.0056  1 Mo 1.95, 4 Li 2.05-2.16
O: 0.8086 0.0748 0.6723  2 Mo 2.05-2.14, 2 Li 2.11-2.27
O: 0.3204 0.5778 0.1553  3 Li 2.07-2.11, 2 Mo 2.09-2.12
O: 0.1380 0.4236 0.8455  1 Mo 1.92, 2 Li 2.09-2.13
O: 0.9737 0.2550 0.9882  2 Mo 2.06-2.07, 3 Li 2.08-2.25
O: 0.8620 0.5764 0.1545  1 Mo 1.92, 2 Li 2.09-2.13
O: 0.6524 0.9198 0.8320  3 Li 2.10-2.31, 3 Mo 2.14-2.18
O: 0.3476 0.0802 0.1680  3 Li 2.10-2.31, 3 Mo 2.14-2.18
O: 0.1914 0.9252 0.3277  2 Mo 2.05-2.14, 2 Li 2.11-2.27
O: 0.5002 0.2361 0.4808  2 Mo 2.05-2.08, 3 Li 2.12-2.24
O: 0.0263 0.7450 0.0118  2 Mo 2.06-2.07, 3 Li 2.08-2.25
O: 0.5040 0.2467 0.9944  1 Mo 1.95, 4 Li 2.05-2.16
O: 0.8256 0.5984 0.6623  2 Mo 2.02-2.16, 2 Li 2.15-2.26
Li: 0.5000 0.0000 0.0000  4 O 2.10-2.15
Li: 0.3007 0.3356 0.6842  3 O 2.09-2.19
Li: 0.5000 0.5000 0.0000  6 O 2.11-2.28
Li: 0.8335 0.8255 0.1554  5 O 2.08-2.19
Li: 0.1848 0.6618 0.3280  5 O 2.07-2.29
Li: 0.1665 0.1745 0.8446  5 O 2.08-2.19
Li: 0.8354 0.3345 0.1628  6 O 2.10-2.26
Li: 0.5000 0.0000 0.5000  6 O 2.11-2.21
Li: 0.1646 0.6655 0.8372  6 O 2.10-2.26
Li: 0.6296 0.6545 0.8346  3 O 2.05-2.10
Li: 0.3704 0.3455 0.1654  3 O 2.05-2.10
Li: 0.8152 0.3382 0.6720  5 O 2.07-2.29
Li: 0.0000 0.0000 0.0000  6 O 2.19-2.26
Li: 0.5000 0.5000 0.5000  6 O 2.15-2.23
Li: 0.0000 0.0000 0.5000  6 O 2.14-2.31
Li: 0.6993 0.6644 0.3158  3 O 2.09-2.19
Mo: 0.3256 0.8359 0.6698  6 O 2.02-2.16
Mo: 0.8226 0.8352 0.6683  6 O 2.02-2.17
Mo: 0.6515 0.1764 0.8416  6 O 1.95-2.18
Mo: 0.1774 0.1648 0.3317  6 O 2.02-2.17
Mo: 0.0000 0.5000 0.0000  6 O 1.92-2.09
Mo: 0.3485 0.8236 0.1584  6 O 1.95-2.18
Mo: 0.0000 0.5000 0.5000  6 O 2.15-2.18
Mo: 0.6744 0.1641 0.3302  6 O 2.02-2.16

Total moment, μB/atom: 0.3333
Space-group type: P-1 (2)
Excess energy over the best structure of this formula in the dataset, meV per atom: 11
Electronic total energy, eV per atom: -6.177


Entry 9:
The following is a DFT calculation (PBE+U) of a geometry-optimized Li2MoO3 structure.

a = 5.2582 Å, b = 5.2582 Å, c = 5.2667 Å
α = 80.47°, β = 80.47°, γ = 120.08°
With the nearest neighbours (Å) after each atom.
Atoms (fractional coordinates):
Li: 0.3447 0.6553 0.5000  6 O 2.14-2.22
Li: 0.0000 0.0000 0.5000  6 O 2.11-2.21
Li: 0.5000 0.5000 0.0000  6 O 2.17-2.18
Li: 0.6553 0.3447 0.5000  6 O 2.14-2.22
O: 0.2325 0.2325 0.7598  2 Mo 2.09, 4 Li 2.11-2.18
O: 0.4200 0.0737 0.2368  2 Mo 2.08, 4 Li 2.17-2.22
O: 0.0737 0.4200 0.2368  2 Mo 2.08, 4 Li 2.17-2.22
O: 0.9263 0.5800 0.7632  2 Mo 2.08, 4 Li 2.17-2.22
O: 0.7675 0.7675 0.2402  2 Mo 2.09, 4 Li 2.11-2.18
O: 0.5800 0.9263 0.7632  2 Mo 2.08, 4 Li 2.17-2.22
Mo: 0.8328 0.1672 0.0000  6 O 2.08-2.09
Mo: 0.1672 0.8328 0.0000  6 O 2.08-2.09

Total moment, μB/atom: 0.3333
Space-group type: C2/m (12)
Excess energy over the best structure of this formula in the dataset, meV per atom: 0
Electronic total energy, eV per atom: -6.188